1.
First-principles (PBE-GGA) data for an optimized crystal structure of Rb2SiGeTe4, as listed in the Alexandria database.

## Properties
size of the total moment: 0.00 μB/cell
electronic total energy: -3.49 eV/atom
formation energy without anion corrections: -425 meV per atom

Cell lengths 10.200, 9.733, 7.202 Å; angles 90.00, 90.00, 90.00 degrees
Sites, in units of the cell vectors:
Rb 0.249 0.158 0.000
Rb 0.251 0.842 0.500
Rb 0.749 0.842 0.500
Rb 0.751 0.158 0.000
Si 0.000 0.361 0.556
Si 0.500 0.639 0.056
Ge 0.000 0.666 0.033
Ge 0.500 0.334 0.533
Te 0.000 0.406 0.909
Te 0.000 0.599 0.405
Te 0.209 0.227 0.494
Te 0.291 0.773 0.994
Te 0.500 0.401 0.905
Te 0.500 0.594 0.409
Te 0.709 0.773 0.994
Te 0.791 0.227 0.494

---

2.
First-principles (PBE-GGA) data for an optimized crystal structure of RbReTePt2, as listed in the Alexandria database.

## Properties
size of the total moment: 4.49 μB/cell
electronic total energy: -2.97 eV/atom
D(E_F): 4.20 states/eV per cell
formation energy without anion corrections: 2755 meV per atom

Cell lengths 5.011, 5.011, 5.814 Å; angles 90.00, 90.00, 90.00 degrees
Sites, in units of the cell vectors:
Rb 0.000 0.000 0.000
Re 0.000 0.000 0.500
Te 0.500 0.500 0.500
Pt 0.000 0.500 0.000
Pt 0.500 0.000 0.000

---

3.
First-principles (PBE-GGA) data for an optimized crystal structure of Cs2NpAuSe4, as listed in the Alexandria database.

## Properties
size of the total moment: 3.94 μB/cell
electronic total energy: -4.77 eV/atom
D(E_F): 17.01 states/eV per cell
formation energy without anion corrections: -790 meV per atom

Cell lengths 15.218, 13.631, 8.188 Å; angles 84.53, 63.08, 32.38 degrees
Sites, in units of the cell vectors:
Cs 0.055 0.055 0.695
Cs 0.305 0.305 0.945
Cs 0.695 0.695 0.055
Cs 0.945 0.945 0.305
Np 0.125 0.125 0.125
Np 0.875 0.875 0.875
Au 0.375 0.375 0.375
Au 0.625 0.625 0.625
Se 0.030 0.324 0.427
Se 0.282 0.573 0.676
Se 0.324 0.030 0.718
Se 0.427 0.718 0.030
Se 0.573 0.282 0.970
Se 0.676 0.970 0.282
Se 0.718 0.427 0.324
Se 0.970 0.676 0.573

---

4.
First-principles (PBE-GGA) data for an optimized crystal structure of Y2Zn2Ag, as listed in the Alexandria database.

## Properties
formation energy from the elements: -0.309 eV/atom
size of the total moment: 0.00 μB/cell
electronic total energy: -3.97 eV/atom
D(E_F): 12.99 states/eV per cell
E above lowest polymorph: 6 meV/atom

Cell lengths 7.216, 7.216, 4.279 Å; angles 90.00, 90.00, 90.00 degrees
Sites, in units of the cell vectors:
Y 0.172 0.328 0.000
Y 0.328 0.828 0.000
Y 0.672 0.172 0.000
Y 0.828 0.672 0.000
Zn 0.126 0.626 0.500
Zn 0.374 0.126 0.500
Zn 0.626 0.874 0.500
Zn 0.874 0.374 0.500
Ag 0.000 0.000 0.500
Ag 0.500 0.500 0.500

---

5.
First-principles (PBE-GGA) data for an optimized crystal structure of Ti8Pt2Rh, as listed in the Alexandria database.

## Properties
formation energy from the elements: -0.480 eV/atom
size of the total moment: 0.00 μB/cell
electronic total energy: -7.99 eV/atom
D(E_F): 14.79 states/eV per cell

Cell lengths 7.473, 7.473, 6.252 Å; angles 111.24, 111.24, 34.46 degrees
Sites, in units of the cell vectors:
Ti 0.021 0.021 0.254
Ti 0.179 0.179 0.762
Ti 0.338 0.338 0.572
Ti 0.410 0.410 0.056
Ti 0.590 0.590 0.944
Ti 0.662 0.662 0.428
Ti 0.821 0.821 0.238
Ti 0.979 0.979 0.746
Pt 0.189 0.189 0.180
Pt 0.811 0.811 0.820
Rh 0.500 0.500 0.500

---

6.
First-principles (PBE-GGA) data for an optimized crystal structure of La2Al3AgGe4, as listed in the Alexandria database.

## Properties
formation energy from the elements: -0.393 eV/atom
size of the total moment: 0.00 μB/cell
electronic total energy: -4.63 eV/atom
D(E_F): 3.64 states/eV per cell

Cell lengths 4.713, 4.713, 9.689 Å; angles 90.00, 90.00, 90.00 degrees
Sites, in units of the cell vectors:
La 0.000 0.500 0.244
La 0.500 0.000 0.756
Al 0.000 0.500 0.891
Al 0.500 0.000 0.109
Al 0.500 0.500 0.500
Ag 0.000 0.000 0.500
Ge 0.000 0.000 0.000
Ge 0.000 0.500 0.633
Ge 0.500 0.000 0.367
Ge 0.500 0.500 0.000

---

7.
First-principles (PBE-GGA) data for an optimized crystal structure of GeIrN, as listed in the Alexandria database.

## Properties
size of the total moment: 0.00 μB/cell
electronic total energy: -6.95 eV/atom
D(E_F): 3.01 states/eV per cell
E above lowest polymorph: 60 meV/atom
formation energy without anion corrections: 318 meV per atom

Cell lengths 2.931, 2.931, 5.306 Å; angles 101.97, 101.97, 58.78 degrees
Sites, in units of the cell vectors:
Ge 0.000 0.000 0.000
Ir 0.535 0.535 0.404
N 0.626 0.626 0.817

---

8.
First-principles (PBE-GGA) data for an optimized crystal structure of Ce2IBr, as listed in the Alexandria database.

## Properties
size of the total moment: 2.73 μB/cell
electronic total energy: -4.53 eV/atom
D(E_F): 15.08 states/eV per cell
E above lowest polymorph: 147 meV/atom
formation energy without anion corrections: -754 meV per atom

Cell lengths 3.808, 3.808, 7.540 Å; angles 90.00, 90.00, 90.00 degrees
Sites, in units of the cell vectors:
Ce 0.000 0.000 0.244
Ce 0.000 0.000 0.756
I 0.500 0.500 0.500
Br 0.500 0.500 0.000

---

> Among the records above, which one has the highest electronic total energy?

RbReTePt2